1.
Compound: NpBeAl
Source: Alexandria
Functional: GGA-PBE
Structure: relaxed

Summary:
ΔE_f (eV/atom): 0.25

Cell lengths 5.342, 2.653, 7.119 Å; angles 90.00, 102.29, 90.00 degrees
Space group Pm (No. 6)
Unique sites:
Np: 0.000 0.000 0.000 [1 per cell]
Np: 0.196 0.500 0.712 [1 per cell]
Be: 0.302 0.500 0.349 [1 per cell]
Be: 0.899 0.500 0.344 [1 per cell]
Al: 0.530 0.500 0.096 [1 per cell]
Al: 0.659 0.000 0.566 [1 per cell]

---

2.
Compound: NpBeAlO6
Source: Alexandria
Functional: GGA-PBE
Structure: relaxed

Summary:
E_form (uncorrected) (eV/atom): -2.4067

Cell lengths 4.9064, 4.9064, 8.6521 Å; angles 90.00, 90.00, 120.00 degrees
Space group P-31c (No. 163)
Unique sites:
Np: 0.3333 0.6667 0.2500 [2 per cell]
Be: 0.3333 0.6667 0.7500 [2 per cell]
Al: 0.0000 0.0000 0.0000 [2 per cell]
O: 0.0226 0.3402 0.6284 [12 per cell]

---

3.
Compound: Np2Be3AlSi4
Source: Alexandria
Functional: GGA-PBE
Structure: relaxed

Summary:
E_form (uncorrected) (eV/atom): -0.1544

Cell lengths 3.914, 3.914, 9.772 Å; angles 90.00, 90.00, 90.00 degrees
Space group P-4m2 (No. 115)
Unique sites:
Np: 0.000 0.500 0.236 [2 per cell]
Be: 0.000 0.500 0.879 [2 per cell]
Be: 0.500 0.500 0.500 [1 per cell]
Al: 0.000 0.000 0.500 [1 per cell]
Si: 0.000 0.000 0.000 [1 per cell]
Si: 0.000 0.500 0.652 [2 per cell]
Si: 0.500 0.500 0.000 [1 per cell]